# MgFe2W

Crystalline MgFe2W at its relaxed geometry (PBE, Alexandria).

Results
- space group = P2/m (10)
- total magnetization (μB/atom) = 1.025
- electronic total energy (eV/atom) = -7.56

Unit cell a=4.1277 b=2.6251 c=5.4389 alpha=77.96 beta=90.00 gamma=90.00
Last column: nearest neighbours and their distance in Å.
Fractional coordinates of all 4 atoms:
1 Fe 0.0000 0.0010 0.9761  3 Fe 2.53-2.63, 2 W 2.56, 2 Mg 2.70
2 Fe 0.0000 0.4990 0.5239  3 Fe 2.53-2.63, 2 W 2.56, 2 Mg 2.70
3 Mg 0.5000 0.2500 0.2500  2 Mg 2.63, 4 Fe 2.70, 2 W 2.76
4 W 0.5000 0.7500 0.7500  4 Fe 2.56, 2 W 2.63, 2 Mg 2.76